i) Li7Mn5O12 after structural relaxation. Source: Alexandria via LeMat-Bulk, functional PBEsol.

Values from the calculation:
Space group = C2/m (12)

a b c (Å): 6.386 6.386 4.861
angles (deg): 97.12 97.12 82.58
Atoms (fractional coordinates):
Li 0.000 0.000 0.000
Li 0.081 0.408 0.243
Li 0.242 0.242 0.756
Li 0.408 0.081 0.243
Li 0.592 0.919 0.757
Li 0.758 0.758 0.244
Li 0.919 0.592 0.757
Mn 0.163 0.837 0.500
Mn 0.330 0.670 0.000
Mn 0.500 0.500 0.500
Mn 0.670 0.330 0.000
Mn 0.837 0.163 0.500
O 0.063 0.709 0.139
O 0.116 0.116 0.389
O 0.221 0.555 0.631
O 0.291 0.937 0.861
O 0.387 0.387 0.126
O 0.445 0.779 0.369
O 0.555 0.221 0.631
O 0.613 0.613 0.874
O 0.709 0.063 0.139
O 0.779 0.445 0.369
O 0.884 0.884 0.611
O 0.937 0.291 0.861

ii) Li7Mn5O12 after structural relaxation. Source: Alexandria via LeMat-Bulk, functional PBEsol.

Values from the calculation:
Space group = P2/m (10)

a b c (Å): 5.119 2.813 14.382
angles (deg): 90.00 93.00 90.00
Atoms (fractional coordinates):
Li 0.000 0.000 0.000
Li 0.000 0.000 0.500
Li 0.189 0.500 0.330
Li 0.349 0.000 0.159
Li 0.500 0.500 0.000
Li 0.651 0.000 0.841
Li 0.811 0.500 0.670
Mn 0.126 0.500 0.843
Mn 0.301 0.000 0.671
Mn 0.500 0.500 0.500
Mn 0.699 0.000 0.329
Mn 0.874 0.500 0.157
O 0.020 0.000 0.237
O 0.152 0.500 0.089
O 0.156 0.500 0.594
O 0.303 0.000 0.909
O 0.352 0.000 0.423
O 0.437 0.500 0.750
O 0.563 0.500 0.250
O 0.648 0.000 0.577
O 0.697 0.000 0.091
O 0.844 0.500 0.406
O 0.848 0.500 0.911
O 0.980 0.000 0.763

iii) Li7Mn5O12 after structural relaxation. Source: Alexandria via LeMat-Bulk, functional PBEsol.

Values from the calculation:
Space group = C2 (5)

a b c (Å): 4.989 4.989 9.445
angles (deg): 95.12 95.12 119.49
Atoms (fractional coordinates):
Li 0.000 0.000 0.000
Li 0.242 0.264 0.761
Li 0.332 0.668 0.000
Li 0.407 0.085 0.239
Li 0.736 0.758 0.239
Li 0.819 0.181 0.500
Li 0.915 0.593 0.761
Mn 0.083 0.420 0.237
Mn 0.149 0.851 0.500
Mn 0.490 0.510 0.500
Mn 0.580 0.917 0.763
Mn 0.654 0.346 0.000
O 0.016 0.677 0.121
O 0.137 0.166 0.377
O 0.230 0.580 0.627
O 0.323 0.984 0.879
O 0.384 0.377 0.118
O 0.420 0.770 0.373
O 0.499 0.205 0.610
O 0.623 0.616 0.882
O 0.724 0.089 0.127
O 0.795 0.501 0.390
O 0.834 0.863 0.623
O 0.911 0.276 0.873

iv) Li7Mn5O12 after structural relaxation. Source: Alexandria via LeMat-Bulk, functional PBEsol.

Values from the calculation:
Space group = P2/m (10)

a b c (Å): 5.015 2.809 13.927
angles (deg): 90.00 91.25 90.00
Atoms (fractional coordinates):
Li 0.000 0.000 0.000
Li 0.000 0.000 0.500
Li 0.166 0.500 0.170
Li 0.323 0.000 0.339
Li 0.500 0.500 0.500
Li 0.677 0.000 0.661
Li 0.834 0.500 0.830
Mn 0.163 0.500 0.663
Mn 0.337 0.000 0.837
Mn 0.500 0.500 0.000
Mn 0.663 0.000 0.163
Mn 0.837 0.500 0.337
O 0.033 0.000 0.750
O 0.138 0.500 0.407
O 0.184 0.500 0.915
O 0.323 0.000 0.593
O 0.350 0.000 0.080
O 0.478 0.500 0.758
O 0.522 0.500 0.242
O 0.650 0.000 0.920
O 0.677 0.000 0.407
O 0.816 0.500 0.085
O 0.862 0.500 0.593
O 0.967 0.000 0.250

Stability summary: most stable i), least stable ii).

i) LiMn7O12 after structural relaxation. Source: Alexandria via LeMat-Bulk, functional PBEsol.

Values from the calculation:
Space group = C2 (5)

a b c (Å): 4.909 4.909 9.736
angles (deg): 96.11 96.11 120.29
Atoms (fractional coordinates):
Li 0.000 0.000 0.000
Mn 0.070 0.411 0.242
Mn 0.142 0.858 0.500
Mn 0.328 0.672 0.000
Mn 0.489 0.511 0.500
Mn 0.589 0.930 0.758
Mn 0.652 0.348 0.000
Mn 0.815 0.185 0.500
O 0.040 0.684 0.114
O 0.102 0.152 0.388
O 0.210 0.582 0.610
O 0.316 0.960 0.886
O 0.374 0.402 0.107
O 0.418 0.790 0.390
O 0.527 0.221 0.608
O 0.598 0.626 0.893
O 0.699 0.074 0.113
O 0.779 0.473 0.392
O 0.848 0.898 0.612
O 0.926 0.301 0.887

ii) LiMn7O12 after structural relaxation. Source: Alexandria via LeMat-Bulk, functional PBEsol.

Values from the calculation:
Space group = Im-3 (204)

a b c (Å): 6.270 6.270 6.270
angles (deg): 109.47 109.47 109.47
Atoms (fractional coordinates):
Li 0.000 0.000 0.000
Mn 0.000 0.000 0.500
Mn 0.000 0.500 0.000
Mn 0.000 0.500 0.500
Mn 0.500 0.000 0.000
Mn 0.500 0.000 0.500
Mn 0.500 0.500 0.000
Mn 0.500 0.500 0.500
O 0.128 0.310 0.818
O 0.182 0.492 0.310
O 0.182 0.872 0.690
O 0.310 0.182 0.492
O 0.310 0.818 0.128
O 0.492 0.310 0.182
O 0.508 0.690 0.818
O 0.690 0.182 0.872
O 0.690 0.818 0.508
O 0.818 0.128 0.310
O 0.818 0.508 0.690
O 0.872 0.690 0.182

Stability summary: most stable ii), least stable i).

i) Li3MnP2O8 after structural relaxation. Source: Alexandria via LeMat-Bulk, functional PBEsol.

Values from the calculation:
Space group = C2/m (12)

a b c (Å): 4.825 4.825 6.193
angles (deg): 90.15 90.15 68.38
Atoms (fractional coordinates):
Li 0.000 0.000 0.000
Li 0.324 0.324 0.230
Li 0.676 0.676 0.770
Mn 0.000 0.000 0.500
P 0.349 0.349 0.741
P 0.651 0.651 0.259
O 0.236 0.236 0.534
O 0.239 0.698 0.733
O 0.243 0.243 0.941
O 0.302 0.761 0.267
O 0.698 0.239 0.733
O 0.757 0.757 0.059
O 0.761 0.302 0.267
O 0.764 0.764 0.466

ii) Li3MnP2O8 after structural relaxation. Source: Alexandria via LeMat-Bulk, functional PBEsol.

Values from the calculation:
Space group = P2_1/m (11)

a b c (Å): 4.666 5.900 9.943
angles (deg): 90.00 91.36 90.00
Atoms (fractional coordinates):
Li 0.000 0.000 0.000
Li 0.000 0.500 0.000
Li 0.022 0.250 0.282
Li 0.500 0.000 0.500
Li 0.500 0.500 0.500
Li 0.978 0.750 0.718
Mn 0.479 0.250 0.781
Mn 0.521 0.750 0.219
P 0.090 0.750 0.398
P 0.436 0.750 0.908
P 0.564 0.250 0.092
P 0.910 0.250 0.602
O 0.194 0.750 0.545
O 0.228 0.544 0.325
O 0.228 0.956 0.325
O 0.241 0.250 0.086
O 0.245 0.250 0.614
O 0.296 0.539 0.838
O 0.296 0.961 0.838
O 0.301 0.750 0.054
O 0.699 0.250 0.946
O 0.704 0.039 0.162
O 0.704 0.461 0.162
O 0.755 0.750 0.386
O 0.759 0.750 0.914
O 0.772 0.044 0.675
O 0.772 0.456 0.675
O 0.806 0.250 0.455

iii) Li3MnP2O8 after structural relaxation. Source: Alexandria via LeMat-Bulk, functional PBEsol.

Values from the calculation:
Space group = P1 (1)

a b c (Å): 7.907 8.321 10.217
angles (deg): 90.46 90.25 105.78
Atoms (fractional coordinates):
Li 0.000 0.000 0.000
Li 0.000 0.499 0.641
Li 0.022 0.054 0.505
Li 0.128 0.395 0.391
Li 0.160 0.455 0.920
Li 0.161 0.940 0.720
Li 0.203 0.947 0.253
Li 0.329 0.637 0.217
Li 0.699 0.922 0.897
Li 0.701 0.428 0.737
Li 0.853 0.118 0.205
Li 0.853 0.617 0.421
Mn 0.400 0.148 0.908
Mn 0.403 0.641 0.726
Mn 0.614 0.926 0.402
Mn 0.629 0.419 0.218
P 0.223 0.764 0.480
P 0.241 0.268 0.150
P 0.295 0.328 0.649
P 0.310 0.839 0.983
P 0.717 0.233 0.484
P 0.720 0.732 0.149
P 0.792 0.788 0.647
P 0.799 0.290 0.971
O 0.093 0.590 0.463
O 0.098 0.102 0.173
O 0.140 0.899 0.432
O 0.190 0.414 0.215
O 0.198 0.946 0.914
O 0.201 0.447 0.726
O 0.204 0.271 0.521
O 0.252 0.797 0.121
O 0.269 0.294 0.000
O 0.281 0.790 0.626
O 0.307 0.179 0.732
O 0.314 0.685 0.900
O 0.389 0.768 0.391
O 0.418 0.247 0.210
O 0.481 0.461 0.643
O 0.493 0.972 0.973
O 0.539 0.594 0.137
O 0.541 0.092 0.498
O 0.619 0.292 0.897
O 0.626 0.791 0.735
O 0.698 0.881 0.234
O 0.700 0.378 0.396
O 0.732 0.776 0.501
O 0.762 0.289 0.122
O 0.804 0.798 0.022
O 0.806 0.301 0.612
O 0.820 0.624 0.229
O 0.823 0.124 0.405
O 0.852 0.130 0.942
O 0.852 0.634 0.680
O 0.926 0.448 0.923
O 0.933 0.951 0.673

Stability summary: most stable ii), least stable iii).

i) Li3MnP2O8 after structural relaxation. Source: Alexandria via LeMat-Bulk, functional PBEsol.

Values from the calculation:
Space group = C2/c (15)

a b c (Å): 5.004 5.004 13.565
angles (deg): 98.76 98.76 55.55
Atoms (fractional coordinates):
Li 0.015 0.985 0.750
Li 0.326 0.341 0.337
Li 0.341 0.326 0.837
Li 0.659 0.674 0.163
Li 0.674 0.659 0.663
Li 0.985 0.015 0.250
Mn 0.000 0.000 0.000
Mn 0.000 0.000 0.500
P 0.337 0.348 0.616
P 0.348 0.337 0.116
P 0.652 0.663 0.884
P 0.663 0.652 0.384
O 0.041 0.325 0.083
O 0.130 0.533 0.706
O 0.208 0.573 0.531
O 0.226 0.698 0.142
O 0.302 0.774 0.358
O 0.325 0.041 0.583
O 0.427 0.792 0.969
O 0.467 0.870 0.794
O 0.533 0.130 0.206
O 0.573 0.208 0.031
O 0.675 0.959 0.417
O 0.698 0.226 0.642
O 0.774 0.302 0.858
O 0.792 0.427 0.469
O 0.870 0.467 0.294
O 0.959 0.675 0.917

ii) Li3MnP2O8 after structural relaxation. Source: Alexandria via LeMat-Bulk, functional PBEsol.

Values from the calculation:
Space group = P-1 (2)

a b c (Å): 7.276 8.088 8.479
angles (deg): 61.80 79.96 89.34
Atoms (fractional coordinates):
Li 0.000 0.000 0.000
Li 0.081 0.313 0.356
Li 0.150 0.313 0.683
Li 0.179 0.991 0.352
Li 0.211 0.676 0.007
Li 0.789 0.324 0.993
Li 0.821 0.009 0.648
Li 0.850 0.687 0.317
Li 0.919 0.687 0.644
Mn 0.485 0.328 0.351
Mn 0.500 0.000 0.000
Mn 0.515 0.672 0.649
P 0.229 0.963 0.672
P 0.236 0.325 0.978
P 0.278 0.679 0.346
P 0.722 0.321 0.654
P 0.764 0.675 0.022
P 0.771 0.037 0.328
O 0.048 0.878 0.663
O 0.050 0.289 0.934
O 0.077 0.715 0.404
O 0.206 0.052 0.797
O 0.231 0.416 0.100
O 0.286 0.462 0.415
O 0.306 0.114 0.468
O 0.319 0.128 0.079
O 0.333 0.779 0.132
O 0.362 0.802 0.750
O 0.363 0.446 0.786
O 0.412 0.763 0.414
O 0.588 0.237 0.586
O 0.637 0.554 0.214
O 0.638 0.198 0.250
O 0.667 0.221 0.868
O 0.681 0.872 0.921
O 0.694 0.886 0.532
O 0.714 0.538 0.585
O 0.769 0.584 0.900
O 0.794 0.948 0.203
O 0.923 0.285 0.596
O 0.950 0.711 0.066
O 0.952 0.122 0.337

Stability summary: most stable i), least stable ii).